No. 1
This record from the Alexandria database describes a geometry-optimized Cs2LaMg2Se4 structure. The functional is GGA-PBE.

Summary:
Space group: C2/m
Raw formation energy, eV per atom: -1.36

Lattice parameters (Å, degrees): 4.344 8.693 8.649 107.82 104.55 90.00
Sites, in units of the cell vectors:
Cs 0.127 0.539 0.253
Se 0.474 0.234 0.948
Mg 0.672 0.976 0.345
Mg 0.328 0.024 0.655
Se 0.526 0.766 0.052
Se 0.202 0.156 0.404
La 0.000 0.000 0.000
Cs 0.873 0.461 0.747
Se 0.798 0.844 0.596

No. 2
This record from the Alexandria database describes a geometry-optimized Sm2Al3PdPt4 structure. The functional is GGA-PBE.

Summary:
ΔE_f, eV/atom: -1.04
Space group: P-4m2

Lattice parameters (Å, degrees): 4.091 4.091 11.334 90.00 90.00 90.00
Sites, in units of the cell vectors:
Al 0.500 0.000 0.873
Al 0.000 0.000 0.500
Pd 0.500 0.500 0.500
Sm 0.000 0.500 0.742
Pt 0.000 0.500 0.343
Pt 0.500 0.000 0.657
Pt 0.500 0.500 0.000
Sm 0.500 0.000 0.258
Pt 0.000 0.000 0.000
Al 0.000 0.500 0.127

No. 3
This record from the Alexandria database describes a geometry-optimized UHg2Bi structure. The functional is GGA-PBE.

Summary:
ΔE_f, eV/atom: 0.21
ΔE to the lowest computed polymorph, kJ/mol of atoms: 15.9
Space group: Fm-3m

Lattice parameters (Å, degrees): 5.346 5.346 5.346 60.00 60.00 60.00
Sites, in units of the cell vectors:
Bi 0.000 0.000 0.000
Hg 0.750 0.750 0.750
Hg 0.250 0.250 0.250
U 0.500 0.500 0.500

Calculated DOS at the Fermi energy (states/eV/cell), listed in the same order as above: 3.5 5.2 8.1